[1]
Density functional theory data (PBE) for a relaxed ZrCd2Ru crystal.

Results
ΔH_f (0 K) (eV per atom): 0.15
Crystal system: cubic
Total DFT energy (no corrections) (eV per cell): -19.07
Mass density (g cm⁻³): 9.18
Excess energy over the best structure of this formula in the dataset (eV per formula unit): 1.15
Density of states at the Fermi level (states/eV per atom): 1.251
Magnetic moment (μB/f.u.): 0.00

The structure in POSCAR format:
```
ZrCd2Ru
1.0
0.0000 3.3538 3.3538
3.3538 0.0000 3.3538
3.3538 3.3538 0.0000
Ru Zr Cd
1 1 2
Direct
0.5000 0.5000 0.5000
0.0000 0.0000 0.0000
0.2500 0.2500 0.2500
0.7500 0.7500 0.7500
```

=====

[2]
Density functional theory data (PBE) for a relaxed ZrCd2Ru crystal.

Results
ΔH_f (0 K) (eV per atom): 0.05
Crystal system: monoclinic
Total DFT energy (no corrections) (eV per cell): -19.46
Mass density (g cm⁻³): 9.01
Excess energy over the best structure of this formula in the dataset (eV per formula unit): 0.75
Density of states at the Fermi level (states/eV per atom): 0.646
Magnetic moment (μB/f.u.): 0.46

The structure in POSCAR format:
```
ZrCd2Ru
1.0
4.9014 0.0000 0.0000
0.0000 3.0122 0.0152
0.0000 1.4993 5.2139
Cd Ru Zr
2 1 1
Direct
0.0000 0.0912 0.0163
0.0000 0.4088 0.4837
0.5000 0.2500 0.2500
0.5000 0.7500 0.7500
```